[1]
Tl8HgPb2: relaxed, PBE.

Space group   C2/m

a = 5.4208 Å, b = 6.7279 Å, c = 9.6348 Å
α = 87.18°, β = 106.34°, γ = 90.00°
Last column: nearest neighbours and their distance in Å.
Sites, in units of the cell vectors:
Pb 0.7703 0.6445 0.5406  8 Tl 3.38-3.74, 2 Pb 3.44
Pb 0.2297 0.3555 0.4594  8 Tl 3.38-3.74, 2 Pb 3.44
Tl 0.4114 0.4467 0.8229  1 Hg 3.35, 6 Tl 3.37-3.47, 1 Pb 3.45
Tl 0.6743 0.0906 0.3485  1 Hg 3.31, 4 Tl 3.39-3.51, 3 Pb 3.41-3.43
Tl 0.8587 0.1929 0.7173  7 Tl 3.37-3.51, 3 Pb 3.38-3.74
Tl 0.9562 0.7379 0.9123  2 Hg 3.36, 5 Tl 3.47-3.51, 1 Pb 3.53
Tl 0.1413 0.8071 0.2827  7 Tl 3.37-3.51, 3 Pb 3.38-3.74
Tl 0.3257 0.9094 0.6515  1 Hg 3.31, 4 Tl 3.39-3.51, 3 Pb 3.41-3.43
Tl 0.5886 0.5533 0.1771  1 Hg 3.35, 6 Tl 3.37-3.47, 1 Pb 3.45
Tl 0.0438 0.2621 0.0877  2 Hg 3.36, 5 Tl 3.47-3.51, 1 Pb 3.53
Hg 0.5000 0.0000 0.0000  8 Tl 3.31-3.36



[2]
Tl3Hg2Pb5: relaxed, PBE.

Space group   C2/c

a = 10.5874 Å, b = 10.2559 Å, c = 8.9731 Å
α = 124.85°, β = 122.51°, γ = 90.00°
Last column: nearest neighbours and their distance in Å.
Sites, in units of the cell vectors:
Tl 0.2500 0.1259 0.0000  4 Tl 3.40-3.48, 6 Pb 3.43-3.64, 2 Hg 3.66
Tl 0.7500 0.8741 0.0000  4 Tl 3.40-3.48, 6 Pb 3.43-3.64, 2 Hg 3.66
Tl 0.6484 0.2169 0.1867  3 Tl 3.40-3.54, 4 Hg 3.40-3.62, 5 Pb 3.45-3.61
Tl 0.3516 0.7831 0.8133  3 Tl 3.40-3.54, 4 Hg 3.40-3.62, 5 Pb 3.45-3.61
Tl 0.1484 0.9697 0.1867  3 Tl 3.40-3.54, 4 Hg 3.40-3.62, 5 Pb 3.45-3.61
Tl 0.8516 0.0303 0.8133  3 Tl 3.40-3.54, 4 Hg 3.40-3.62, 5 Pb 3.45-3.61
Hg 0.9488 0.6680 0.5912  1 Hg 3.35, 6 Pb 3.37-3.65, 5 Tl 3.40-3.66
Hg 0.0512 0.3320 0.4088  1 Hg 3.35, 6 Pb 3.37-3.65, 5 Tl 3.40-3.66
Hg 0.4488 0.9232 0.5912  1 Hg 3.35, 6 Pb 3.37-3.65, 5 Tl 3.40-3.66
Hg 0.5512 0.0768 0.4088  1 Hg 3.35, 6 Pb 3.37-3.65, 5 Tl 3.40-3.66
Pb 0.2500 0.6202 0.0000  4 Hg 3.37-3.65, 6 Pb 3.43-3.57, 2 Tl 3.45
Pb 0.7500 0.3798 0.0000  4 Hg 3.37-3.65, 6 Pb 3.43-3.57, 2 Tl 3.45
Pb 0.0520 0.8221 0.4006  6 Pb 3.40-3.62, 2 Hg 3.42-3.45, 4 Tl 3.43-3.64
Pb 0.4480 0.4215 0.5994  6 Pb 3.40-3.62, 2 Hg 3.42-3.45, 4 Tl 3.43-3.64
Pb 0.9480 0.1779 0.5994  6 Pb 3.40-3.62, 2 Hg 3.42-3.45, 4 Tl 3.43-3.64
Pb 0.5520 0.5785 0.4006  6 Pb 3.40-3.62, 2 Hg 3.42-3.45, 4 Tl 3.43-3.64
Pb 0.8490 0.5224 0.7947  7 Pb 3.40-3.64, 2 Hg 3.44-3.60, 3 Tl 3.46-3.61
Pb 0.1510 0.4776 0.2053  7 Pb 3.40-3.64, 2 Hg 3.44-3.60, 3 Tl 3.46-3.61
Pb 0.3490 0.2722 0.7947  7 Pb 3.40-3.64, 2 Hg 3.44-3.60, 3 Tl 3.46-3.61
Pb 0.6510 0.7278 0.2053  7 Pb 3.40-3.64, 2 Hg 3.44-3.60, 3 Tl 3.46-3.61



Number 1: calculated formation energy 4 meV per atom. Number 2: calculated formation energy 10 meV per atom.